Material: MoOsRu2F
Method: DFT, PBE+U
State: relaxed

Values from the calculation:
Density of states at the Fermi level: 6.0 states/eV per cell
Raw total energy: -6.484 eV/atom

Cell: 4.1916 4.1916 4.2619 Å, 90.00 90.00 90.00°
With the nearest neighbours (Å) after each atom.
Space group P4/mmm (No. 123)
One atom of each set of equivalent atoms:
Mo 0.0000 0.0000 0.0000  4 Os 2.96, 8 Ru 2.99
Os 0.5000 0.5000 0.0000  2 F 2.13
Ru 0.0000 0.5000 0.5000  2 F 2.10
F 0.5000 0.5000 0.5000  4 Ru 2.10, 2 Os 2.13